Entry 1:
Computed, not measured: Ce6Zn2Ru after structural relaxation at the PBE level of DFT.

Computed properties:
DOS(E_F) ... 2.32 states/eV/atom
Formation energy from the elements ... -0.1395 eV/atom
VASP energy ... -97.36 eV per cell
Density ... 8.18 g cm⁻³
Volume ... 24.21 A^3/atom
Space group ... P2_1/c (14)

abc: 6.099 8.047 9.028
angles: 90.00 79.53 90.00
Atoms (fractional coordinates):
Zn (0.366, 0.082, 0.295)
Ce (0.051, 0.333, 0.478)
Ce (0.905, 0.747, 0.967)
Ru (0.500, 0.500, 0.000)
Ce (0.449, 0.833, 0.022)
Ce (0.551, 0.167, 0.978)
Ce (0.099, 0.033, 0.778)
Ce (0.095, 0.253, 0.033)
Ce (0.595, 0.247, 0.533)
Ce (0.401, 0.533, 0.722)
Ru (0.000, 0.000, 0.500)
Zn (0.866, 0.418, 0.795)
Zn (0.134, 0.582, 0.205)
Zn (0.634, 0.918, 0.705)
Ce (0.949, 0.667, 0.522)
Ce (0.599, 0.467, 0.278)
Ce (0.901, 0.967, 0.222)
Ce (0.405, 0.753, 0.467)

Entry 2:
Computed, not measured: Ce8ZnRu6 after structural relaxation at the PBE level of DFT.

Computed properties:
DOS(E_F) ... 1.85 states/eV/atom
Formation energy from the elements ... -0.1985 eV/atom
VASP energy ... -107.38 eV per cell
Density ... 7.98 g cm⁻³
Volume ... 24.86 A^3/atom
Space group ... R-3 (148)

abc: 7.201 7.201 7.201
angles: 91.58 91.58 91.58
Last column: magnetic moment on the atom in μB.
Atoms (fractional coordinates):
Ce (0.280, 0.624, 0.934)  0.22
Ce (0.624, 0.934, 0.280)  0.22
Ce (0.228, 0.228, 0.228)  0.44
Ce (0.934, 0.280, 0.624)  0.22
Ce (0.720, 0.376, 0.066)  0.22
Zn (0.000, 0.000, 0.000)  0.00
Ce (0.066, 0.720, 0.376)  0.22
Ru (0.244, 0.395, 0.577)  -0.05
Ru (0.423, 0.756, 0.605)  -0.05
Ce (0.772, 0.772, 0.772)  0.44
Ru (0.756, 0.605, 0.423)  -0.05
Ru (0.605, 0.423, 0.756)  -0.05
Ru (0.577, 0.244, 0.395)  -0.05
Ru (0.395, 0.577, 0.244)  -0.05
Ce (0.376, 0.066, 0.720)  0.22

Entry 3:
Computed, not measured: Ce3ZnRu4 after structural relaxation at the PBE level of DFT.

Computed properties:
DOS(E_F) ... 0.92 states/eV/atom
Formation energy from the elements ... -0.1823 eV/atom
VASP energy ... -57.64 eV per cell
Density ... 9.00 g cm⁻³
Volume ... 20.53 A^3/atom
Space group ... Imm2 (44)

abc: 6.106 6.106 6.106
angles: 105.94 98.37 125.43
Atoms (fractional coordinates):
Ru (0.005, 0.759, 0.246)
Ce (0.565, 0.238, 0.803)
Ce (0.964, 0.000, 0.964)
Ru (0.487, 0.241, 0.246)
Ce (0.565, 0.762, 0.328)
Ru (0.279, 0.680, 0.959)
Ru (0.279, 0.320, 0.599)
Zn (0.006, 0.500, 0.506)

Entry 4:
Computed, not measured: Ce2Zn2Ru3 after structural relaxation at the PBE level of DFT.

Computed properties:
DOS(E_F) ... 0.65 states/eV/atom
Formation energy from the elements ... -0.2265 eV/atom
VASP energy ... -43.83 eV per cell
Density ... 9.01 g cm⁻³
Volume ... 18.80 A^3/atom
Space group ... P-1 (2)

abc: 4.607 4.272 7.224
angles: 72.86 76.31 90.03
Atoms (fractional coordinates):
Zn (0.852, 0.373, 0.252)
Ce (0.647, 0.123, 0.757)
Ru (0.000, 0.000, 0.000)
Zn (0.148, 0.627, 0.748)
Ru (0.262, 0.244, 0.512)
Ce (0.353, 0.877, 0.243)
Ru (0.738, 0.756, 0.488)

Entry 5:
Computed, not measured: Ce6ZnRu after structural relaxation at the PBE level of DFT.

Computed properties:
DOS(E_F) ... 2.68 states/eV/atom
Formation energy from the elements ... -0.0143 eV/atom
VASP energy ... -46.27 eV per cell
Offset from the most stable computed form ... 0.095 eV per atom
Density ... 7.87 g cm⁻³
Volume ... 26.57 A^3/atom
Space group ... C2/m (12)

abc: 6.005 6.005 6.243
angles: 99.59 99.59 101.81
Last column: magnetic moment on the atom in μB.
Atoms (fractional coordinates):
Ce (0.157, 0.575, 0.197)  0.22
Ru (0.500, 0.500, 0.500)  -0.03
Ce (0.843, 0.425, 0.803)  0.22
Ce (0.425, 0.843, 0.803)  0.22
Ce (0.818, 0.818, 0.388)  0.14
Ce (0.182, 0.182, 0.612)  0.14
Ce (0.575, 0.157, 0.197)  0.22
Zn (0.000, 0.000, 0.000)  0.00

Entry 6:
Computed, not measured: CeZn4Ru after structural relaxation at the PBE level of DFT.

Computed properties:
DOS(E_F) ... 0.60 states/eV/atom
Formation energy from the elements ... -0.2879 eV/atom
VASP energy ... -44.07 eV per cell
Offset from the most stable computed form ... 0.000 eV per atom
Density ... 7.77 g cm⁻³
Volume ... 17.91 A^3/atom
Space group ... Pmma (51)

abc: 4.093 6.586 7.975
angles: 90.00 90.00 90.00
Atoms (fractional coordinates):
Zn (0.500, 0.292, 0.963)
Ru (0.000, 0.759, 0.250)
Zn (0.500, 0.708, 0.037)
Zn (0.000, 0.000, 0.500)
Zn (0.000, 0.000, 0.000)
Zn (0.500, 0.292, 0.537)
Zn (0.500, 0.708, 0.463)
Ce (0.000, 0.410, 0.250)
Ce (0.000, 0.590, 0.750)
Zn (0.500, 0.038, 0.250)
Ru (0.000, 0.241, 0.750)
Zn (0.500, 0.962, 0.750)

Entry 7:
Computed, not measured: Ce5Zn2Ru2 after structural relaxation at the PBE level of DFT.

Computed properties:
DOS(E_F) ... 2.34 states/eV/atom
Formation energy from the elements ... -0.2313 eV/atom
VASP energy ... -105.70 eV per cell
Density ... 8.30 g cm⁻³
Volume ... 22.96 A^3/atom
Space group ... Ima2 (46)

abc: 6.064 7.208 10.565
angles: 109.94 106.68 90.00
Last column: magnetic moment on the atom in μB.
Atoms (fractional coordinates):
Ru (0.000, 0.902, 0.000)  -0.06
Zn (0.188, 0.611, 0.102)  0.00
Zn (0.812, 0.509, 0.898)  0.00
Zn (0.415, 0.111, 0.102)  0.00
Ce (0.270, 0.023, 0.321)  0.42
Ru (0.500, 0.402, 0.000)  -0.06
Ce (0.448, 0.201, 0.679)  0.42
Zn (0.585, 0.009, 0.898)  0.00
Ru (0.317, 0.428, 0.500)  -0.06
Ce (0.069, 0.125, 0.836)  0.41
Ce (0.143, 0.748, 0.500)  0.51
Ce (0.931, 0.289, 0.164)  0.41
Ce (0.730, 0.701, 0.679)  0.42
Ce (0.733, 0.789, 0.164)  0.41
Ce (0.857, 0.248, 0.500)  0.51
Ru (0.683, 0.928, 0.500)  -0.06
Ce (0.267, 0.625, 0.836)  0.41
Ce (0.552, 0.523, 0.321)  0.42

Entry 8:
Computed, not measured: Ce3ZnRu3 after structural relaxation at the PBE level of DFT.

Computed properties:
DOS(E_F) ... 0.84 states/eV/atom
Formation energy from the elements ... -0.2381 eV/atom
VASP energy ... -97.14 eV per cell
Density ... 8.41 g cm⁻³
Volume ... 22.25 A^3/atom
Space group ... R-3 (148)

abc: 8.482 8.482 6.999
angles: 52.71 52.71 60.00
Atoms (fractional coordinates):
Ce (0.860, 0.182, 0.321)
Ce (0.363, 0.140, 0.679)
Ru (0.538, 0.304, 0.207)
Ru (0.049, 0.462, 0.793)
Ru (0.696, 0.049, 0.793)
Ce (0.637, 0.860, 0.321)
Zn (0.333, 0.333, 0.001)
Ru (0.462, 0.696, 0.793)
Ce (0.140, 0.818, 0.679)
Ce (0.818, 0.363, 0.679)
Ru (0.951, 0.538, 0.207)
Ru (0.304, 0.951, 0.207)
Zn (0.667, 0.667, 0.999)
Ce (0.182, 0.637, 0.321)

Q: The lowest DOS(E_F) belongs to which entry?
A: CeZn4Ru